Entry 1:
A relaxed structure of MnAu2Se. Source: Alexandria via LeMat-Bulk, functional PBE.

calculated volume: 75 Å³/cell
total energy: -4.6878 eV per atom
SG: P4/mmm (123)

Cell lengths 2.9216, 2.9216, 8.8353 Å; angles 90.00, 90.00, 90.02 degrees
With the nearest neighbours (Å) after each atom.
Sites, in units of the cell vectors:
Au1 0.0000 0.0000 0.0415  4 Mn 2.77, 4 Au 2.92
Au2 0.0000 0.0000 0.4585  4 Mn 2.77, 4 Au 2.92
Mn1 0.5000 0.5000 0.2500  8 Au 2.77, 4 Mn 2.92
Se1 0.5000 0.5000 0.7500  4 Se 2.92

=====

Entry 2:
A relaxed structure of DyPuTlRu. Source: Alexandria via LeMat-Bulk, functional PBE.

energy above the lowest structure with this stoichiometry: 219 meV per atom
calculated volume: 93 Å³/cell
total energy: -7.6703 eV per atom
SG: F-43m (216)

Cell lengths 5.0922, 5.0922, 5.0922 Å; angles 60.00, 60.00, 60.00 degrees
With the nearest neighbours (Å) after each atom.
Sites, in units of the cell vectors:
Ru1 0.5000 0.5000 0.5000  4 Pu 3.12, 4 Dy 3.12
Tl1 0.0000 0.0000 0.0000  4 Pu 3.12, 4 Dy 3.12
Dy1 0.2500 0.2500 0.2500  4 Tl 3.12, 4 Ru 3.12
Pu1 0.7500 0.7500 0.7500  4 Ru 3.12, 4 Tl 3.12

=====

Entry 3:
A relaxed structure of CrReHRu2. Source: Alexandria via LeMat-Bulk, functional PBE.

energy above the lowest structure with this stoichiometry: 0 meV per atom
calculated volume: 56 Å³/cell
total energy: -8.7355 eV per atom
SG: P4/mmm (123)

Cell lengths 3.8378, 3.8378, 3.8144 Å; angles 90.00, 90.00, 90.00 degrees
With the nearest neighbours (Å) after each atom.
Sites, in units of the cell vectors:
Re1 0.5000 0.5000 0.5000  8 Ru 2.71, 4 Cr 2.71
Cr1 0.0000 0.0000 0.5000  2 H 1.91
H1 0.0000 0.0000 0.0000  2 Cr 1.91, 4 Ru 1.92
Ru1 0.0000 0.5000 0.0000  2 H 1.92
Ru2 0.5000 0.0000 0.0000  2 H 1.92

=====

Entry 4:
A relaxed structure of PmZn5Au6. Source: Alexandria via LeMat-Bulk, functional PBE.

energy above the lowest structure with this stoichiometry: 30 meV per atom
calculated volume: 216 Å³/cell
total energy: -2.8538 eV per atom
SG: P2/m (10)

Cell lengths 4.6611, 7.2682, 6.6734 Å; angles 90.00, 90.00, 72.64 degrees
With the nearest neighbours (Å) after each atom.
Sites, in units of the cell vectors:
Zn1 0.6675 0.6800 0.5000  8 Au 2.67-2.84
Zn2 0.3406 0.3279 0.0000  8 Au 2.80-2.96
Zn3 0.0000 0.0000 0.5000  8 Au 2.76-2.95
Zn4 0.6594 0.6721 0.0000  8 Au 2.80-2.96
Zn5 0.3325 0.3200 0.5000  8 Au 2.67-2.84
Au1 0.8166 0.3591 0.2638  7 Zn 2.73-2.96, 2 Au 3.03-3.05, 1 Pm 3.05
Au2 0.8166 0.3591 0.7362  7 Zn 2.73-2.96, 2 Au 3.03-3.05, 1 Pm 3.05
Au3 0.5000 0.0000 0.7224  6 Zn 2.67-2.93, 1 Au 2.97, 2 Pm 2.98
Au4 0.5000 0.0000 0.2776  6 Zn 2.67-2.93, 1 Au 2.97, 2 Pm 2.98
Au5 0.1834 0.6409 0.2638  7 Zn 2.73-2.96, 2 Au 3.03-3.05, 1 Pm 3.05
Au6 0.1834 0.6409 0.7362  7 Zn 2.73-2.96, 2 Au 3.03-3.05, 1 Pm 3.05
Pm1 0.0000 0.0000 0.0000  8 Au 2.98-3.05, 4 Zn 3.23-3.28

=====

Which formula does entry 1 have? MnAu2Se